A relaxed YIn2Hg crystal. Source: Alexandria via LeMat-Bulk, functional GGA-PBE.

abc: 5.0942 5.6459 7.1992
angles: 90.00 90.00 90.00
Closest atoms and distances in Å follow each position.
Space group Cmmm (No. 65)
Inequivalent atoms, fractional coordinates:
Y1 0.0000 0.0000 0.0000 [2 per cell]  8 In 3.21-3.43
In1 0.0000 0.5000 0.2704 [4 per cell]  4 Hg 3.04-3.27, 2 Y 3.21, 1 In 3.31
Hg1 0.0000 0.0000 0.5000 [2 per cell]  8 In 3.04-3.27

- Raw total energy: -3.2739 eV/atom

=====

A relaxed YIn2Hg crystal. Source: Alexandria via LeMat-Bulk, functional GGA-PBE.

abc: 6.5239 6.5445 4.5935
angles: 90.00 90.20 90.00
Closest atoms and distances in Å follow each position.
Space group C2/m (No. 12)
Inequivalent atoms, fractional coordinates:
Y1 0.0000 0.0000 0.0000 [2 per cell]  8 In 3.25-3.26, 4 Hg 3.26-3.27
In1 0.2500 0.2500 0.5000 [4 per cell]  4 Hg 3.25-3.26, 4 Y 3.25-3.26, 4 In 3.26-3.27
Hg1 0.0000 0.5000 0.0000 [2 per cell]  8 In 3.25-3.26, 4 Y 3.26-3.27

- Raw total energy: -3.4660 eV/atom

=====

A relaxed YInHg5 crystal. Source: Alexandria via LeMat-Bulk, functional GGA-PBE.

abc: 5.0333 5.0333 7.1959
angles: 90.00 90.00 90.00
Closest atoms and distances in Å follow each position.
Space group P4/mmm (No. 123)
Inequivalent atoms, fractional coordinates:
Y1 0.0000 0.0000 0.0000 [1 per cell]  12 Hg 3.19-3.56
In1 0.0000 0.0000 0.5000 [1 per cell]  8 Hg 3.01
Hg1 0.0000 0.5000 0.2714 [4 per cell]  2 In 3.01, 3 Hg 3.19-3.29, 2 Y 3.19
Hg2 0.5000 0.5000 0.0000 [1 per cell]  8 Hg 3.19, 4 Y 3.56

- Raw total energy: -1.7270 eV/atom

=====

A relaxed YInHg crystal. Source: Alexandria via LeMat-Bulk, functional GGA-PBE.

abc: 7.4734 4.9030 8.3285
angles: 90.00 90.00 90.00
Closest atoms and distances in Å follow each position.
Space group Pnma (No. 62)
Inequivalent atoms, fractional coordinates:
Y1 0.2424 0.2500 0.2463 [4 per cell]  4 Hg 3.14-3.49, 5 In 3.24-3.49
In1 0.0350 0.2500 0.5888 [4 per cell]  2 Hg 2.87-3.07, 2 In 2.91
Hg1 0.0549 0.7500 0.0765 [4 per cell]  2 In 2.87-3.07, 2 Hg 2.88, 3 Y 3.14-3.16

- Raw total energy: -3.6225 eV/atom

=====

A relaxed YIn3Hg crystal. Source: Alexandria via LeMat-Bulk, functional GGA-PBE.

abc: 5.4601 5.4601 5.4601
angles: 90.00 90.00 90.00
Closest atoms and distances in Å follow each position.
Space group Pm-3m (No. 221)
Inequivalent atoms, fractional coordinates:
Y1 0.0000 0.0000 0.0000 [1 per cell]  12 In 3.86
In1 0.0000 0.5000 0.5000 [3 per cell]  2 Hg 2.73
Hg1 0.5000 0.5000 0.5000 [1 per cell]  6 In 2.73

- Distance to the lowest polymorph of the same formula: 423.6 meV/atom

=====

A relaxed YIn2Hg4 crystal. Source: Alexandria via LeMat-Bulk, functional GGA-PBE.

abc: 5.0263 5.0263 7.2282
angles: 90.00 90.00 90.00
Closest atoms and distances in Å follow each position.
Space group P4/mmm (No. 123)
Inequivalent atoms, fractional coordinates:
Y1 0.0000 0.0000 0.0000 [1 per cell]  8 Hg 3.18, 4 In 3.55
In1 0.0000 0.0000 0.5000 [1 per cell]  8 Hg 3.02
In2 0.5000 0.5000 0.0000 [1 per cell]  8 Hg 3.18, 4 Y 3.55
Hg1 0.0000 0.5000 0.2694 [4 per cell]  4 In 3.02-3.18, 2 Y 3.18, 1 Hg 3.33

- Raw total energy: -2.0896 eV/atom

=====

A relaxed YInHg crystal. Source: Alexandria via LeMat-Bulk, functional GGA-PBE.

abc: 4.4957 4.4957 7.7128
angles: 90.00 90.00 90.00
Closest atoms and distances in Å follow each position.
Space group P4/nmm (No. 129, origin choice 2)
Inequivalent atoms, fractional coordinates:
Y1 0.2500 0.2500 0.1722 [2 per cell]  5 Hg 3.02-3.20
In1 0.2500 0.7500 0.5000 [2 per cell]  4 Hg 3.12, 4 In 3.18, 4 Y 3.38
Hg1 0.2500 0.2500 0.7806 [2 per cell]  5 Y 3.02-3.20, 4 In 3.12

- Raw total energy: -3.5582 eV/atom

=====

A relaxed YIn2Hg crystal. Source: Alexandria via LeMat-Bulk, functional GGA-PBE.

abc: 3.5177 3.5177 30.2952
angles: 90.00 90.00 120.00
Closest atoms and distances in Å follow each position.
Space group R3m (No. 160, hexagonal axes)
Inequivalent atoms, fractional coordinates:
Y1 0.0000 0.0000 0.0000 [3 per cell]  3 Hg 3.18, 3 In 3.30, 6 Y 3.52
In1 0.0000 0.0000 0.2473 [3 per cell]  9 In 3.30-3.52, 3 Y 3.30
In2 0.0000 0.0000 0.4949 [3 per cell]  3 Hg 3.18, 9 In 3.30-3.52
Hg1 0.0000 0.0000 0.7474 [3 per cell]  3 Y 3.18, 3 In 3.18, 6 Hg 3.52

- Raw total energy: -3.2115 eV/atom

=====

A relaxed Y2InHg3 crystal. Source: Alexandria via LeMat-Bulk, functional GGA-PBE.

abc: 7.0300 9.8888 17.0952
angles: 90.00 90.00 90.00
Closest atoms and distances in Å follow each position.
Space group Fmmm (No. 69)
Inequivalent atoms, fractional coordinates:
Y1 0.2460 0.0000 0.0000 [8 per cell]  10 Hg 3.33-3.35, 2 In 3.37, 2 Y 3.46-3.57
Y2 0.2500 0.2500 0.2500 [8 per cell]  8 Hg 3.35, 4 In 3.35, 2 Y 3.52
In1 0.0000 0.0000 0.3330 [8 per cell]  3 Hg 2.84
Hg1 0.0000 0.0000 0.1667 [8 per cell]  1 In 2.84, 2 Hg 2.87
Hg2 0.0000 0.2484 0.4167 [16 per cell]  1 In 2.84, 2 Hg 2.85-2.87

- Raw total energy: -3.1763 eV/atom

=====

A relaxed YIn2Hg crystal. Source: Alexandria via LeMat-Bulk, functional GGA-PBE.

abc: 3.9390 3.9390 6.6809
angles: 90.00 90.00 90.00
Closest atoms and distances in Å follow each position.
Space group P4mm (No. 99)
Inequivalent atoms, fractional coordinates:
Y1 0.0000 0.0000 0.0000 [1 per cell]  4 Hg 3.24, 6 In 3.29-3.37
In1 0.0000 0.0000 0.4950 [1 per cell]  4 In 3.23, 4 Hg 3.24, 2 Y 3.31-3.37
In2 0.5000 0.5000 0.7384 [1 per cell]  4 In 3.23, 2 Hg 3.29-3.40, 4 Y 3.29
Hg1 0.5000 0.5000 0.2466 [1 per cell]  4 Y 3.24, 6 In 3.24-3.40

- Raw total energy: -3.3194 eV/atom

=====

A relaxed YInHg crystal. Source: Alexandria via LeMat-Bulk, functional GGA-PBE.

abc: 7.1284 7.1284 7.1284
angles: 90.00 90.00 90.00
Closest atoms and distances in Å follow each position.
Space group F-43m (No. 216)
Inequivalent atoms, fractional coordinates:
Y1 0.0000 0.0000 0.0000 [4 per cell]  4 Hg 3.09, 4 In 3.09
In1 0.2500 0.2500 0.2500 [4 per cell]  4 Y 3.09
Hg1 0.2500 0.2500 0.7500 [4 per cell]  4 Y 3.09

- Raw total energy: -3.2364 eV/atom

=====

A relaxed Y3InHg3 crystal. Source: Alexandria via LeMat-Bulk, functional GGA-PBE.

abc: 10.1544 10.1810 7.3334
angles: 90.00 90.04 90.00
Closest atoms and distances in Å follow each position.
Space group C2/m (No. 12)
Inequivalent atoms, fractional coordinates:
Y1 0.0639 0.0000 0.2536 [4 per cell]  5 Hg 3.13-3.16, 1 In 3.21
Y2 0.2465 0.2027 0.7509 [8 per cell]  6 Hg 3.12-3.47, 1 In 3.19
In1 0.1535 0.5000 0.5503 [4 per cell]  3 Hg 2.96-3.06, 3 Y 3.19-3.21, 1 In 3.20
Hg1 0.0000 0.2433 0.0000 [4 per cell]  6 Y 3.13-3.20, 2 Hg 3.13
Hg2 0.0000 0.2433 0.5000 [4 per cell]  2 In 3.06, 6 Y 3.13-3.21
Hg3 0.1665 0.5000 0.9539 [4 per cell]  1 In 2.96, 3 Y 3.12-3.13, 2 Hg 3.13

- Raw total energy: -3.6590 eV/atom

=====

Computed values of magnetic moment (unit: μB/cell) for the preceding records, in sequence: 0.4, 0.0, 0.0, 0.0, 0.0, 0.0, 0.0, 0.0, 0.5, 0.0, 0.0, 0.0.